[1]
DFT (PBE) results for a relaxed Dy3Mg3HgAu2 crystal.

Cell lengths 7.668, 7.668, 4.079 Å; angles 90.00, 90.00, 120.00 degrees
Sites, in units of the cell vectors:
Dy 0.000 0.586 0.000
Dy 0.414 0.414 0.000
Dy 0.586 0.000 0.000
Mg 0.000 0.255 0.500
Mg 0.255 0.000 0.500
Mg 0.745 0.745 0.500
Hg 0.000 0.000 0.000
Au 0.333 0.667 0.500
Au 0.667 0.333 0.500

Calculated total energy = -30.534 eV for the cell shown
Magnetization = 0.02 μB/cell

[2]
DFT (PBE) results for a relaxed Sc3FeN2 crystal.

Cell lengths 3.145, 3.145, 18.082 Å; angles 90.00, 90.00, 120.00 degrees
Sites, in units of the cell vectors:
Sc 0.000 0.000 0.000
Sc 0.000 0.000 0.500
Sc 0.333 0.667 0.143
Sc 0.333 0.667 0.357
Sc 0.667 0.333 0.643
Sc 0.667 0.333 0.857
Fe 0.000 0.000 0.250
Fe 0.000 0.000 0.750
N 0.333 0.667 0.573
N 0.333 0.667 0.927
N 0.667 0.333 0.073
N 0.667 0.333 0.427

Calculated total energy = -101.369 eV for the cell shown
Magnetization = 1.82 μB/cell

[3]
DFT (PBE) results for a relaxed ScCuSnIr crystal.

Cell lengths 4.594, 4.594, 4.594 Å; angles 60.00, 60.00, 60.00 degrees
Sites, in units of the cell vectors:
Sc 0.000 0.000 0.000
Cu 0.500 0.500 0.500
Sn 0.250 0.250 0.250
Ir 0.750 0.750 0.750

Magnetization = 0.00 μB/cell
E above lowest polymorph = 264 meV/atom

[4]
DFT (PBE) results for a relaxed Pm2Mo crystal.

Cell lengths 6.024, 6.024, 6.024 Å; angles 60.00, 60.00, 60.00 degrees
Sites, in units of the cell vectors:
Pm 0.000 0.000 0.000
Pm 0.000 0.000 0.500
Pm 0.000 0.500 0.000
Pm 0.500 0.000 0.000
Mo 0.375 0.375 0.375
Mo 0.625 0.625 0.625

Energy of formation from the pure elements = 124 kJ per mole of atoms
Magnetization = 0.01 μB/cell
E above lowest polymorph = 0 meV/atom